Entry 1:
Computed, not measured: a relaxed Na3CdAg3Cl8 crystal at the PBE level of DFT.

Formation energy from raw total energies in meV/atom: -1109
E in eV/atom: -2.989

abc: 13.539 8.088 8.008
angles: 90.00 124.55 90.00
Space group C2/m (No. 12)
Asymmetric unit:
Na1 0.000 0.000 0.000
Na2 0.250 0.250 0.500
Cd1 0.000 0.500 0.000
Ag1 0.000 0.500 0.500
Ag2 0.250 0.250 0.000
Cl1 0.005 0.264 0.770
Cl2 0.238 0.500 0.235
Cl3 0.246 0.500 0.741

=====

Entry 2:
Computed, not measured: a relaxed Cs3RbMg2Cl9 crystal at the PBE level of DFT.

Formation energy from raw total energies in meV/atom: -1755
E in eV/atom: -3.311

abc: 7.4236 7.4236 10.4211
angles: 90.00 90.00 120.00
Space group P-3m1 (No. 164)
Asymmetric unit:
Cs1 0.0000 0.0000 0.0000
Cs2 0.3333 0.6667 0.7200
Rb1 0.0000 0.0000 0.5000
Mg1 0.3333 0.6667 0.1451
Cl1 0.0000 0.5000 0.0000
Cl2 0.1769 0.3537 0.2825